## Cd3GaAu6 (PBE)

Data for a geometry-optimized Cd3GaAu6 structure.

Lattice parameters (Å, degrees): 9.199 4.192 10.740 90.00 107.64 90.00
Space group P2_1/m (No. 11)
Inequivalent atoms, fractional coordinates:
Cd 0.002 0.250 0.212 [2 per cell]
Cd 0.286 0.750 0.327 [2 per cell]
Cd 0.316 0.250 0.090 [2 per cell]
Ga 0.226 0.750 0.666 [2 per cell]
Au 0.008 0.750 0.400 [2 per cell]
Au 0.098 0.750 0.067 [2 per cell]
Au 0.255 0.250 0.512 [2 per cell]
Au 0.343 0.750 0.919 [2 per cell]
Au 0.466 0.250 0.798 [2 per cell]
Au 0.492 0.750 0.605 [2 per cell]

Computed properties:
Formation energy from the elements   -0.122 eV/atom
Calculated total energy   -2.666 eV/atom
Magnetic moment   0.00 μB per atom
Fermi-level density of states   0.205 states/eV per atom